Entry 1:
# TaSiMo

A relaxed structure of TaSiMo (PBEsol, Alexandria).

Results
The total moment is 0.000 μB/atom. As for the space-group type: F-43m (216). The uncorrected formation energy comes out at 209 meV per atom.

Geometry as POSCAR:
```
TaSiMo
1.0
0.0000 2.9416 2.9416
2.9416 0.0000 2.9416
2.9416 2.9416 0.0000
Ta Si Mo
1 1 1
Cartesian
0.0000 0.0000 0.0000
1.4708 1.4708 1.4708
2.9416 2.9416 2.9416
```

Entry 2:
# Ta2Si2Mo

A relaxed structure of Ta2Si2Mo (PBEsol, Alexandria).

Results
The total moment is 0.000 μB/atom. As for the space-group type: P4/mbm (127). The uncorrected formation energy comes out at -536 meV per atom.

Geometry as POSCAR:
```
Ta2Si2Mo
1.0
6.5278 0.0000 0.0000
0.0000 6.5278 0.0000
0.0000 0.0000 3.5209
Ta Si Mo
4 4 2
Cartesian
1.0998 2.1641 0.0000
2.1641 5.4280 0.0000
4.3637 1.0998 0.0000
5.4280 4.3637 0.0000
0.8541 4.1180 1.7605
2.4098 0.8541 1.7605
4.1180 5.6738 1.7605
5.6738 2.4098 1.7605
0.0000 0.0000 1.7605
3.2639 3.2639 1.7605
```